[1]
This record from Alexandria describes crystalline TaCrRu2 at its relaxed geometry. The functional is PBE.

Cell: 4.358 4.358 3.139 Å, 90.00 90.00 90.00°
Positions (direct):
Ta1 0.000 0.000 0.000
Cr1 0.500 0.500 0.000
Ru1 0.000 0.500 0.500
Ru2 0.500 0.000 0.500

Size of the total moment = 3.0 μB per formula unit

---

[2]
This record from Alexandria describes crystalline TaCrRu at its relaxed geometry. The functional is PBE.

Cell: 3.094 3.094 9.283 Å, 90.00 90.00 90.00°
Positions (direct):
Ta1 0.000 0.000 0.000
Ta2 0.500 0.500 0.500
Cr1 0.000 0.000 0.340
Cr2 0.500 0.500 0.840
Ru1 0.000 0.000 0.671
Ru2 0.500 0.500 0.171

Distance to the lowest polymorph of the same formula = 0.34 eV per formula unit
Size of the total moment = 1.1 μB per formula unit

---

[3]
This record from Alexandria describes crystalline TaCrRu at its relaxed geometry. The functional is PBE.

Cell: 9.625 3.093 6.241 Å, 90.00 108.13 90.00°
Positions (direct):
Ta1 0.000 0.000 0.000
Ta2 0.186 0.500 0.347
Ta3 0.500 0.500 0.000
Ta4 0.686 0.000 0.347
Cr1 0.017 0.000 0.494
Cr2 0.350 0.000 0.184
Cr3 0.517 0.500 0.494
Cr4 0.850 0.500 0.184
Ru1 0.175 0.500 0.848
Ru2 0.356 0.000 0.657
Ru3 0.675 0.000 0.848
Ru4 0.856 0.500 0.657

Distance to the lowest polymorph of the same formula = 0.44 eV per formula unit
Size of the total moment = 0.0 μB per formula unit

---

We obtain ρ values of 12.118; 12.484; 12.565 g/cm³ for the records listed above, in that order.
We obtain formation enthalpy at 0 K values of -146; -39; -7 meV per atom for the records listed above, in that order.
We obtain E_tot values of -10.15; -10.29; -10.26 eV/atom for the records listed above, in that order.